1.
This record from the Alexandria database describes LuZrMn2 after structural relaxation. The functional is PBE.

Values from the calculation:
ΔE_f	0.06	eV/atom

Unit cell a=3.3577 b=3.3577 c=6.6104 alpha=90.00 beta=90.00 gamma=90.00
With the nearest neighbours (Å) after each atom.
Space group P4/mmm (No. 123)
One atom of each set of equivalent atoms:
Lu: 0.0000 0.0000 0.0000 x1  8 Mn 3.03, 2 Zr 3.31, 4 Lu 3.36
Zr: 0.0000 0.0000 0.5000 x1  8 Mn 2.77
Mn: 0.5000 0.5000 0.2849 x2  4 Zr 2.77, 1 Mn 2.84, 4 Lu 3.03

---

2.
This record from the Alexandria database describes Lu2ZrMn after structural relaxation. The functional is PBE.

Values from the calculation:
ΔE_f	0.13	eV/atom

Unit cell a=3.3170 b=3.3170 c=8.4377 alpha=90.00 beta=90.00 gamma=90.00
With the nearest neighbours (Å) after each atom.
Space group P4/mmm (No. 123)
One atom of each set of equivalent atoms:
Lu: 0.0000 0.0000 0.2207 x2  4 Mn 3.00, 4 Lu 3.32, 4 Zr 3.32
Zr: 0.5000 0.5000 0.5000 x1  4 Zr 3.32, 8 Lu 3.32
Mn: 0.5000 0.5000 0.0000 x1  8 Lu 3.00, 4 Mn 3.32

---

3.
This record from the Alexandria database describes LuZrMn2 after structural relaxation. The functional is PBE.

Values from the calculation:
ΔE_f	0.12	eV/atom

Unit cell a=4.6809 b=4.6809 c=3.3389 alpha=90.00 beta=90.00 gamma=90.00
With the nearest neighbours (Å) after each atom.
Space group P4/mmm (No. 123)
One atom of each set of equivalent atoms:
Lu: 0.0000 0.0000 0.0000 x1  8 Mn 2.87
Zr: 0.5000 0.5000 0.0000 x1  8 Mn 2.87
Mn: 0.0000 0.5000 0.5000 x2  4 Zr 2.87, 4 Lu 2.87

---

4.
This record from the Alexandria database describes LuMo5 after structural relaxation. The functional is PBE.

Values from the calculation:
ΔE_f	0.16	eV/atom

Unit cell a=4.6623 b=13.6245 c=3.2053 alpha=90.00 beta=90.00 gamma=90.00
With the nearest neighbours (Å) after each atom.
Space group Cmmm (No. 65)
One atom of each set of equivalent atoms:
Lu: 0.0000 0.0000 0.0000 x2  8 Mo 2.83-2.89
Mo: 0.0000 0.1767 0.5000 x4  6 Mo 2.66-2.83, 2 Lu 2.89
Mo: 0.0000 0.3323 0.0000 x4  8 Mo 2.66-2.83
Mo: 0.0000 0.5000 0.5000 x2  4 Mo 2.79, 4 Lu 2.83